Crystalline NdReB at its relaxed geometry, computed with PBE-GGA.

Cell: 9.4779 3.6329 7.0438 Å, 90.00 90.00 90.00°
With the nearest neighbours (Å) after each atom.
Fractional coordinates of all 12 atoms:
Nd1 0.1893 0.2500 0.0272  3 B 2.68-2.83
Nd2 0.3107 0.7500 0.5272  3 B 2.68-2.83
Nd3 0.6893 0.2500 0.4728  3 B 2.68-2.83
Nd4 0.8107 0.7500 0.9728  3 B 2.68-2.83
Re1 0.0036 0.7500 0.3490  3 B 2.08-2.11
Re2 0.4964 0.2500 0.8490  3 B 2.08-2.11
Re3 0.5036 0.7500 0.1510  3 B 2.08-2.11
Re4 0.9964 0.2500 0.6510  3 B 2.08-2.11
B1 0.1052 0.2500 0.3899  3 Re 2.08-2.11
B2 0.3948 0.7500 0.8899  3 Re 2.08-2.11
B3 0.6052 0.2500 0.1101  3 Re 2.08-2.11
B4 0.8948 0.7500 0.6101  3 Re 2.08-2.11

Output
E_form in meV/atom: 83
E_tot in eV per atom: -7.8818
Symmetry: Pnma (62)
Total magnetic moment in μB/f.u.: 0.0



Crystalline Pm5Tc at its relaxed geometry, computed with PBE-GGA.

Cell: 8.7492 8.7492 5.6548 Å, 90.00 90.00 154.94°
With the nearest neighbours (Å) after each atom.
Fractional coordinates of all 6 atoms:
Pm1 0.0000 0.0000 0.0000  4 Tc 3.41, 10 Pm 3.41-3.80
Pm2 0.1281 0.8719 0.5000  2 Tc 2.90
Pm3 0.3344 0.6656 0.0000  10 Pm 3.41-3.80
Pm4 0.6656 0.3344 0.0000  10 Pm 3.41-3.80
Pm5 0.8719 0.1281 0.5000  2 Tc 2.90
Tc1 0.5000 0.5000 0.5000  4 Pm 2.90

Output
E_form in meV/atom: 197
E_tot in eV per atom: -5.4891
Symmetry: Cmmm (65)
Total magnetic moment in μB/f.u.: 0.0